{
  "formula": "Er2Tm8In3",
  "functional": "PBE",
  "state": "relaxed",
  "e_form_ev_per_atom": 0.134,
  "total_energy_ev_per_cell": -51.4,
  "space_group": "R-3m",
  "mass_density_g_cm3": 8.46,
  "lattice": [[3.156, 1.822, 11.547], [-3.156, 1.822, 11.547], [0.000, -3.644, 11.547]],
  "species": ["Er", "Er", "Tm", "Tm", "Tm", "Tm", "Tm", "Tm", "Tm", "Tm", "In", "In", "In"],
  "fractional_positions": [[0.137, 0.137, 0.137], [0.863, 0.863, 0.863], [0.220, 0.220, 0.722], [0.220, 0.722, 0.220], [0.227, 0.227, 0.227], [0.278, 0.780, 0.780], [0.722, 0.220, 0.220], [0.773, 0.773, 0.773], [0.780, 0.278, 0.780], [0.780, 0.780, 0.278], [0.313, 0.313, 0.313], [0.500, 0.500, 0.500], [0.687, 0.687, 0.687]]
}